<i>
{
  "formula": "LiMn4O8",
  "functional": "GGA-PBEsol",
  "state": "relaxed",
  "crystal_system": "monoclinic",
  "magmom_total_mub_per_cell": 11.00,
  "cell": [[-0.592, 1.273, -2.489], [-6.247, -2.173, -1.267], [-3.024, 5.876, 2.083]],
  "species": ["Li", "Mn", "Mn", "Mn", "Mn", "O", "O", "O", "O", "O", "O", "O", "O"],
  "frac_coords": [[0.035, 0.000, 0.000], [0.863, 0.518, 0.821], [0.387, 0.819, 0.472], [0.678, 0.181, 0.528], [0.202, 0.482, 0.179], [0.228, 0.661, 0.948], [0.883, 0.694, 0.604], [0.878, 0.968, 0.341], [0.486, 0.365, 0.727], [0.579, 0.635, 0.273], [0.187, 0.032, 0.659], [0.181, 0.306, 0.396], [0.837, 0.339, 0.052]]
}

<ii>
{
  "formula": "LiMn4O8",
  "functional": "GGA-PBEsol",
  "state": "relaxed",
  "crystal_system": "cubic",
  "magmom_total_mub_per_cell": 11.00,
  "cell": [[5.678, 0.000, 0.000], [-2.839, 4.919, -0.110], [0.000, -3.171, 4.711]],
  "species": ["Li", "Mn", "Mn", "Mn", "Mn", "O", "O", "O", "O", "O", "O", "O", "O"],
  "frac_coords": [[0.626, 0.252, 0.875], [0.002, 0.499, 0.499], [0.002, 0.004, 0.003], [0.002, 0.004, 0.499], [0.497, 0.499, 0.499], [0.237, 0.473, 0.708], [0.237, 0.029, 0.264], [0.792, 0.029, 0.264], [0.237, 0.473, 0.264], [0.763, 0.975, 0.737], [0.764, 0.528, 0.289], [0.764, 0.528, 0.737], [0.212, 0.975, 0.737]]
}

<iii>
{
  "formula": "LiMn4O8",
  "functional": "GGA-PBEsol",
  "state": "relaxed",
  "crystal_system": "orthorhombic",
  "magmom_total_mub_per_cell": 21.99,
  "cell": [[5.490, -0.053, 0.000], [-2.589, 4.842, 0.000], [0.000, 0.000, 9.227]],
  "species": ["Li", "Li", "Mn", "Mn", "Mn", "Mn", "Mn", "Mn", "Mn", "Mn", "O", "O", "O", "O", "O", "O", "O", "O", "O", "O", "O", "O", "O", "O", "O", "O"],
  "frac_coords": [[0.128, 0.872, 0.920], [0.872, 0.128, 0.420], [0.129, 0.372, 0.135], [0.628, 0.871, 0.135], [0.383, 0.617, 0.863], [0.861, 0.139, 0.861], [0.139, 0.861, 0.361], [0.617, 0.383, 0.363], [0.372, 0.129, 0.635], [0.871, 0.628, 0.635], [0.266, 0.734, 0.208], [0.772, 0.228, 0.222], [0.230, 0.256, 0.790], [0.744, 0.770, 0.790], [0.256, 0.230, 0.290], [0.770, 0.744, 0.290], [0.228, 0.772, 0.722], [0.734, 0.266, 0.708], [0.973, 0.027, 0.039], [0.480, 0.520, 0.042], [0.517, 0.973, 0.958], [0.027, 0.483, 0.958], [0.027, 0.973, 0.539], [0.520, 0.480, 0.542], [0.483, 0.027, 0.458], [0.973, 0.517, 0.458]]
}

Order of stability, best first: <ii>, <iii>, <i>

<i>
{
  "formula": "Li5Mn3O8",
  "functional": "GGA-PBEsol",
  "state": "relaxed",
  "crystal_system": "monoclinic",
  "magmom_total_mub_per_cell": 3.25,
  "cell": [[-0.134, -2.811, -0.006], [4.645, -0.218, -1.821], [1.706, -0.101, 9.390]],
  "species": ["Li", "Li", "Li", "Li", "Li", "Mn", "Mn", "Mn", "O", "O", "O", "O", "O", "O", "O", "O"],
  "frac_coords": [[0.000, 0.500, 0.000], [0.000, 0.000, 0.500], [0.500, 0.000, 0.000], [0.500, 0.244, 0.758], [0.500, 0.756, 0.242], [0.500, 0.500, 0.500], [0.000, 0.241, 0.241], [0.000, 0.759, 0.759], [0.500, 0.368, 0.139], [0.500, 0.632, 0.861], [0.000, 0.094, 0.861], [0.000, 0.906, 0.139], [0.500, 0.846, 0.628], [0.500, 0.154, 0.372], [0.000, 0.604, 0.384], [0.000, 0.396, 0.616]]
}

<ii>
{
  "formula": "Li5Mn3O8",
  "functional": "GGA-PBEsol",
  "state": "relaxed",
  "crystal_system": "monoclinic",
  "magmom_total_mub_per_cell": 8.00,
  "cell": [[-0.668, -3.191, 3.625], [4.252, 2.343, 2.846], [-4.918, 2.876, -0.583]],
  "species": ["Li", "Li", "Li", "Li", "Li", "Mn", "Mn", "Mn", "O", "O", "O", "O", "O", "O", "O", "O"],
  "frac_coords": [[0.000, 0.000, 0.500], [0.000, 0.500, 0.500], [0.493, 0.747, 0.493], [0.507, 0.253, 0.507], [0.000, 0.500, 0.000], [0.000, 0.000, 0.000], [0.500, 0.743, 0.000], [0.500, 0.257, 0.000], [0.252, 0.876, 0.225], [0.252, 0.348, 0.225], [0.725, 0.615, 0.231], [0.746, 0.112, 0.224], [0.748, 0.124, 0.775], [0.748, 0.652, 0.775], [0.254, 0.888, 0.776], [0.275, 0.385, 0.769]]
}

<iii>
{
  "formula": "Li5Mn3O8",
  "functional": "GGA-PBEsol",
  "state": "relaxed",
  "crystal_system": "trigonal",
  "magmom_total_mub_per_cell": 16.00,
  "cell": [[5.621, 0.041, 0.035], [2.775, 4.889, 0.035], [2.742, 1.610, 9.432]],
  "species": ["Li", "Li", "Li", "Li", "Li", "Li", "Li", "Li", "Li", "Li", "Mn", "Mn", "Mn", "Mn", "Mn", "Mn", "O", "O", "O", "O", "O", "O", "O", "O", "O", "O", "O", "O", "O", "O", "O", "O"],
  "frac_coords": [[0.250, 0.750, 0.250], [0.750, 0.250, 0.750], [0.500, 0.000, 0.500], [0.000, 0.500, 0.000], [0.750, 0.750, 0.250], [0.250, 0.250, 0.750], [0.750, 0.250, 0.250], [0.250, 0.750, 0.750], [0.250, 0.250, 0.250], [0.750, 0.750, 0.750], [0.500, 0.000, 0.000], [0.500, 0.500, 0.500], [0.000, 0.000, 0.000], [0.000, 0.000, 0.500], [0.500, 0.500, 0.000], [0.000, 0.500, 0.500], [0.871, 0.371, 0.388], [0.371, 0.871, 0.888], [0.629, 0.129, 0.112], [0.129, 0.629, 0.612], [0.363, 0.387, 0.387], [0.863, 0.887, 0.887], [0.363, 0.863, 0.387], [0.863, 0.363, 0.887], [0.887, 0.863, 0.387], [0.387, 0.363, 0.887], [0.137, 0.113, 0.113], [0.637, 0.613, 0.613], [0.137, 0.637, 0.113], [0.637, 0.137, 0.613], [0.613, 0.637, 0.113], [0.113, 0.137, 0.613]]
}

Order of stability, best first: <ii>, <iii>, <i>